Zr2ScIr3: relaxed, GGA-PBE.

```
Zr2ScIr3
1.0
4.6532 0.0000 0.0000
-2.3266 4.0298 0.0000
0.0000 0.0000 5.6909
Zr Sc Ir
2 1 3
direct
0.6667 0.3333 0.3277
0.3333 0.6667 0.6723
0.0000 0.0000 0.0000
0.0000 0.0000 0.5000
0.6667 0.3333 0.8316
0.3333 0.6667 0.1684
```

Summary:
Density of states at the Fermi level = 4.6 states/eV/f.u.
Symmetry = P-3m1, No. 164
Formation enthalpy at 0 K = -857 meV per atom
Uncorrected energy = -9.193 eV/atom

***

Zr5ScIr6: relaxed, GGA-PBE.

```
Zr5ScIr6
1.0
4.5257 -0.3759 0.9496
-0.0184 6.1898 2.5381
1.3766 0.2857 8.1299
Sc Ir Zr
1 6 5
direct
0.0000 0.0000 0.0000
0.8317 0.5849 0.3325
0.8317 0.0826 0.3325
0.5000 0.7521 0.0000
0.5000 0.2479 0.0000
0.1683 0.9174 0.6675
0.1683 0.4151 0.6675
0.6674 0.1659 0.6683
0.3340 0.3339 0.3322
0.0000 0.5000 0.0000
0.6660 0.6661 0.6678
0.3326 0.8341 0.3317
```

Summary:
Density of states at the Fermi level = 5.7 states/eV/f.u.
Symmetry = C2/m, No. 12
Formation enthalpy at 0 K = -825 meV per atom
Uncorrected energy = -9.345 eV/atom

***

ZrScIr2: relaxed, GGA-PBE.

```
ZrScIr2
1.0
-3.2369 -7.9974 1.1955
-0.1804 -8.6314 1.1535
-1.5420 -7.6849 3.7985
Ir Sc Zr
2 1 1
direct
0.9994 0.9994 0.9994
0.5006 0.5006 0.5006
0.2500 0.2500 0.2500
0.7500 0.7500 0.7500
```

Summary:
Density of states at the Fermi level = 4.1 states/eV/f.u.
Symmetry = R-3m, No. 166
Formation enthalpy at 0 K = -437 meV per atom
Uncorrected energy = -8.587 eV/atom

***

ZrScIr2: relaxed, GGA-PBE.

```
ZrScIr2
1.0
3.0458 0.0021 0.0000
-0.0021 3.0458 0.0000
0.0000 0.0000 8.2822
Ir Sc Zr
2 1 1
direct
0.0000 0.0000 0.0085
0.5000 0.5000 0.2455
0.0000 0.0000 0.4401
0.5000 0.5000 0.8058
```

Summary:
Density of states at the Fermi level = 3.6 states/eV/f.u.
Symmetry = P4mm, No. 99
Formation enthalpy at 0 K = -291 meV per atom
Uncorrected energy = -8.441 eV/atom

***

Zr2ScIr: relaxed, GGA-PBE.

```
Zr2ScIr
1.0
4.5146 0.0000 0.0000
0.0000 3.1642 0.0073
0.0000 1.6215 5.6253
Ir Sc Zr
1 1 2
direct
0.0000 0.5033 0.4992
0.5000 0.6885 0.7325
0.0000 0.9987 0.9961
0.5000 0.3095 0.2721
```

Summary:
Density of states at the Fermi level = 3.6 states/eV/f.u.
Symmetry = Pm, No. 6
Formation enthalpy at 0 K = -345 meV per atom
Uncorrected energy = -8.417 eV/atom

***

ZrScIr2: relaxed, GGA-PBE.

```
ZrScIr2
1.0
5.2479 -0.0554 -0.4491
4.3103 2.9942 -0.4491
0.3883 0.1194 4.5069
Ir Sc Zr
2 1 1
direct
0.9665 0.9665 0.1250
0.7849 0.7849 0.6251
0.5177 0.5177 0.6250
0.2310 0.2310 0.1250
```

Summary:
Density of states at the Fermi level = 2.7 states/eV/f.u.
Symmetry = Amm2, No. 38
Formation enthalpy at 0 K = -809 meV per atom
Uncorrected energy = -8.960 eV/atom

***

ZrSc2Ir: relaxed, GGA-PBE.

```
ZrSc2Ir
1.0
-0.9229 -2.3090 2.6083
0.2464 -3.5242 -3.0327
4.5080 -0.6002 1.0637
Ir Sc Zr
1 2 1
direct
0.0000 0.5000 0.5000
0.0000 0.0000 0.0000
0.5000 0.5000 0.0000
0.5000 0.0000 0.5000
```

Summary:
Density of states at the Fermi level = 5.2 states/eV/f.u.
Symmetry = Pmmm, No. 47
Formation enthalpy at 0 K = -378 meV per atom
Uncorrected energy = -7.896 eV/atom

***

ZrSc2Ir: relaxed, GGA-PBE.

```
ZrSc2Ir
1.0
-1.2653 9.4424 -0.8634
-0.9269 8.6730 -3.9276
-3.7694 8.4198 -2.5306
Ir Sc Zr
1 2 1
direct
0.7500 0.7500 0.7500
0.0113 0.0113 0.0113
0.4887 0.4887 0.4887
0.2500 0.2500 0.2500
```

Summary:
Density of states at the Fermi level = 4.3 states/eV/f.u.
Symmetry = R-3m, No. 166
Formation enthalpy at 0 K = -241 meV per atom
Uncorrected energy = -7.759 eV/atom

***

ZrSc2Ir2: relaxed, GGA-PBE.

```
ZrSc2Ir2
1.0
7.0514 0.0000 0.0000
0.0000 7.0514 0.0000
0.0000 0.0000 3.9330
Sc Ir Zr
4 4 2
direct
0.1674 0.6674 0.5000
0.6674 0.8326 0.5000
0.8326 0.3326 0.5000
0.3326 0.1674 0.5000
0.3611 0.8611 0.0000
0.8611 0.6389 0.0000
0.6389 0.1389 0.0000
0.1389 0.3611 0.0000
0.0000 0.0000 0.0000
0.5000 0.5000 0.0000
```

Summary:
Density of states at the Fermi level = 4.7 states/eV/f.u.
Symmetry = P4/mbm, No. 127
Formation enthalpy at 0 K = -732 meV per atom
Uncorrected energy = -8.519 eV/atom

***

ZrSc2Ir2: relaxed, GGA-PBE.

```
ZrSc2Ir2
1.0
4.5256 0.0130 -0.0073
2.2522 3.9254 -0.0073
0.0104 0.0060 5.6927
Zr Sc Ir
1 2 2
direct
0.5000 0.0000 0.0000
0.8334 0.3334 0.6536
0.1666 0.6666 0.3464
0.8333 0.3333 0.1619
0.1667 0.6667 0.8381
```

Summary:
Density of states at the Fermi level = 3.2 states/eV/f.u.
Symmetry = P-3m1, No. 164
Formation enthalpy at 0 K = -815 meV per atom
Uncorrected energy = -8.602 eV/atom

***

Zr2ScIr: relaxed, GGA-PBE.

```
Zr2ScIr
1.0
-3.0115 -0.2367 -3.7083
-2.5097 -3.9940 -0.7915
-4.7230 -0.0456 0.7539
Ir Sc Zr
1 1 2
direct
0.5000 0.5000 0.5000
0.7500 0.7500 0.7500
0.0000 0.0000 0.0000
0.2500 0.2500 0.2500
```

Summary:
Density of states at the Fermi level = 5.2 states/eV/f.u.
Symmetry = F-43m, No. 216
Formation enthalpy at 0 K = -311 meV per atom
Uncorrected energy = -8.383 eV/atom

***

ZrSc2Ir: relaxed, GGA-PBE.

```
ZrSc2Ir
1.0
-0.3087 -3.1602 0.5232
2.7580 -0.5295 -1.5713
3.9518 0.7220 6.6930
Ir Sc Zr
1 2 1
direct
0.5000 0.5000 0.7500
0.0000 0.0000 0.9567
0.0000 0.0000 0.5433
0.5000 0.5000 0.2500
```

Summary:
Density of states at the Fermi level = 5.1 states/eV/f.u.
Symmetry = P4/mmm, No. 123
Formation enthalpy at 0 K = -489 meV per atom
Uncorrected energy = -8.007 eV/atom